Entry from Alexandria: an optimized crystal structure of VPH9O9 (PBE with a Hubbard U).

Values from the calculation:
Total magnetization ... 1.0 μB per formula unit
Energy ... -462.05 eV per cell
Fermi-level density of states ... 0.00 states/eV/f.u.
ρ ... 2.20 g/cm3

a = 6.4780 Å, b = 8.9749 Å, c = 13.2407 Å
α = 79.74°, β = 77.99°, γ = 71.76°
Closest atoms and distances in Å follow each position.
Sites, in units of the cell vectors:
1 V 0.1385 0.4951 0.1950  1 O 1.63
2 V 0.2541 0.8772 0.6888  1 O 1.65
3 V 0.7459 0.1228 0.3112  1 O 1.65
4 V 0.8615 0.5049 0.8050  1 O 1.63
5 P 0.2706 0.1187 0.2702  4 O 1.54-1.59
6 P 0.3834 0.5004 0.7559  4 O 1.53-1.60
7 P 0.6166 0.4996 0.2441  4 O 1.53-1.60
8 P 0.7294 0.8813 0.7298  4 O 1.54-1.59
9 H 0.0018 0.7517 0.5593  1 O 0.99
10 H 0.0578 0.1819 0.6168  1 O 1.00
11 H 0.0763 0.1714 0.7386  1 O 1.00
12 H 0.0874 0.2362 0.9012  1 O 1.02
13 H 0.1506 0.7800 0.0998  1 O 1.02
14 H 0.1545 0.6104 0.4949  1 O 1.00
15 H 0.1869 0.5154 0.9541  1 O 1.00
16 H 0.2001 0.3617 0.5123  1 O 0.99
17 H 0.2045 0.2141 0.0567  1 O 0.99
18 H 0.2212 0.8576 0.4874  1 O 0.99
19 H 0.2605 0.0568 0.0040  1 O 1.01
20 H 0.2979 0.8489 0.9368  1 O 1.00
21 H 0.3569 0.9852 0.4604  1 O 0.99
22 H 0.3953 0.3683 0.6267  1 O 1.02
23 H 0.3983 0.4322 0.0021  1 O 0.98
24 H 0.4208 0.8646 0.2492  1 O 0.99
25 H 0.4246 0.3861 0.4494  1 O 0.99
26 H 0.4694 0.8372 0.0134  1 O 1.00
27 H 0.5306 0.1628 0.9866  1 O 1.00
28 H 0.5754 0.6139 0.5506  1 O 0.99
29 H 0.5792 0.1354 0.7508  1 O 0.99
30 H 0.6017 0.5678 0.9979  1 O 0.98
31 H 0.6047 0.6317 0.3733  1 O 1.02
32 H 0.6431 0.0148 0.5396  1 O 0.99
33 H 0.7021 0.1511 0.0632  1 O 1.00
34 H 0.7395 0.9432 0.9960  1 O 1.01
35 H 0.7788 0.1424 0.5126  1 O 0.99
36 H 0.7955 0.7859 0.9433  1 O 0.99
37 H 0.7999 0.6383 0.4877  1 O 0.99
38 H 0.8131 0.4846 0.0459  1 O 1.00
39 H 0.8455 0.3896 0.5051  1 O 1.00
40 H 0.8494 0.2200 0.9002  1 O 1.02
41 H 0.9126 0.7638 0.0988  1 O 1.02
42 H 0.9237 0.8286 0.2614  1 O 1.00
43 H 0.9422 0.8181 0.3832  1 O 1.00
44 H 0.9982 0.2483 0.4407  1 O 0.99
45 O 0.0285 0.7389 0.1456  2 H 1.02
46 O 0.0431 0.1265 0.3373  1 P 1.54
47 O 0.0528 0.7204 0.4881  2 H 0.99-1.00
48 O 0.0762 0.4986 0.3206  1 V 1.63
49 O 0.1451 0.1234 0.6729  2 H 1.00
50 O 0.1602 0.5117 0.8295  1 P 1.55, 1 H 1.70
51 O 0.2208 0.8627 0.8165  1 V 1.65, 1 H 1.74
52 O 0.2462 0.4954 0.0207  2 H 0.98-1.00
53 O 0.2523 0.1723 0.9889  2 H 0.99-1.01
54 O 0.2613 0.2581 0.1835  1 P 1.54
55 O 0.3043 0.9100 0.5169  2 H 0.99
56 O 0.3103 0.8609 0.0086  2 H 1.00
57 O 0.3134 0.4138 0.5125  2 H 0.99
58 O 0.3549 0.9671 0.2093  1 H 0.99
59 O 0.3732 0.6427 0.6699  1 P 1.55
60 O 0.4293 0.1050 0.3460  1 P 1.55
61 O 0.4427 0.5261 0.1752  1 P 1.53
62 O 0.4512 0.3474 0.6959  1 H 1.02
63 O 0.5488 0.6526 0.3041  1 H 1.02
64 O 0.5573 0.4739 0.8248  1 P 1.53
65 O 0.5707 0.8950 0.6540  1 P 1.55
66 O 0.6268 0.3573 0.3301  1 P 1.55
67 O 0.6451 0.0329 0.7907  1 H 0.99
68 O 0.6866 0.5862 0.4875  2 H 0.99
69 O 0.6897 0.1391 0.9914  2 H 1.00
70 O 0.6957 0.0900 0.4831  2 H 0.99
71 O 0.7387 0.7419 0.8165  1 P 1.54
72 O 0.7477 0.8277 0.0111  2 H 0.99-1.01
73 O 0.7538 0.5046 0.9793  2 H 0.98-1.00
74 O 0.7792 0.1373 0.1835  1 V 1.65, 1 H 1.74
75 O 0.8398 0.4883 0.1705  1 P 1.55, 1 H 1.70
76 O 0.8549 0.8766 0.3271  2 H 1.00
77 O 0.9238 0.5014 0.6794  1 V 1.63
78 O 0.9472 0.2796 0.5119  2 H 0.99-1.00
79 O 0.9569 0.8735 0.6627  1 P 1.54
80 O 0.9715 0.2611 0.8544  2 H 1.02